SmDyHgPt PBE relaxed; magnetization = 0.00 μB/f.u.; calculated total energy = -4.70 eV per atom; formation enthalpy at 0 K = -75.4 kJ/mol of atoms
1.0
5.144 0.000 0.000
2.572 4.455 0.000
2.572 1.485 4.200
Sm Pt Dy Hg
1 1 1 1
direct
0.500 0.500 0.500 Sm
0.750 0.750 0.750 Pt
0.000 0.000 0.000 Dy
0.250 0.250 0.250 Hg


Ta2InN PBE relaxed; magnetization = 0.00 μB/f.u.; calculated total energy = -8.46 eV per atom
1.0
-1.732 -4.231 -2.980
0.193 -3.193 4.421
-5.939 -2.414 1.884
In N Ta
2 2 4
direct
0.000 0.000 0.000 In
0.750 0.250 0.500 In
0.250 0.750 0.500 N
0.500 0.500 0.000 N
0.268 0.625 0.250 Ta
0.482 0.125 0.250 Ta
0.375 0.518 0.750 Ta
0.875 0.732 0.750 Ta